Entry 1:
# PBE-GGA Pr3AsO3, relaxed
# Energy relative to the elements, uncorrected ... -1822 kJ/mol of formula units
data_Pr3AsO3
_chemical_formula_sum 'Pr18 As6 O18'
_space_group_name_H-M_alt 'R -3'
_space_group_IT_number 148
_space_group_name_Hall '-R 3'
_cell_length_a 6.9923
_cell_length_b 6.9923
_cell_length_c 21.6455
_cell_angle_alpha 90.00
_cell_angle_beta 90.00
_cell_angle_gamma 120.00
loop_
_atom_site_label
_atom_site_fract_x
_atom_site_fract_y
_atom_site_fract_z
Pr1 0.0036 0.6438 0.4031
As1 0.0000 0.0000 0.1666
O1 0.0084 0.6899 0.6244

---

Entry 2:
# PBE-GGA PrAsO3, relaxed
# Energy relative to the elements, uncorrected ... -1092 kJ/mol of formula units
data_PrAsO3
_chemical_formula_sum 'Pr2 As2 O6'
_space_group_name_H-M_alt 'P 1'
_space_group_IT_number 1
_space_group_name_Hall 'P 1'
_cell_length_a 4.4608
_cell_length_b 6.4212
_cell_length_c 6.4714
_cell_angle_alpha 103.19
_cell_angle_beta 102.12
_cell_angle_gamma 104.95
loop_
_atom_site_label
_atom_site_fract_x
_atom_site_fract_y
_atom_site_fract_z
Pr1 0.0000 0.0000 0.0000
Pr2 0.1046 0.4196 0.6923
As1 0.3157 0.9593 0.5579
As2 0.7529 0.5129 0.2056
O1 0.3777 0.3380 0.0114
O2 0.4246 0.8620 0.8061
O3 0.5278 0.2544 0.6093
O4 0.9222 0.2977 0.2660
O5 0.9405 0.6242 0.0089
O6 0.9628 0.0134 0.6306

---

Entry 3:
# PBE-GGA PrAs2O4, relaxed
# Energy relative to the elements, uncorrected ... -1202 kJ/mol of formula units
data_PrAs2O4
_chemical_formula_sum 'Pr2 As4 O8'
_space_group_name_H-M_alt 'C 1 2/m 1'
_space_group_IT_number 12
_space_group_name_Hall '-C 2y'
_cell_length_a 7.2409
_cell_length_b 4.1064
_cell_length_c 7.7298
_cell_angle_alpha 90.00
_cell_angle_beta 98.33
_cell_angle_gamma 90.00
loop_
_atom_site_label
_atom_site_fract_x
_atom_site_fract_y
_atom_site_fract_z
Pr1 0.0000 0.0000 0.0000
As1 0.2277 0.0000 0.6458
O1 0.0069 0.0000 0.3189
O2 0.1811 0.5000 0.1160

---

Entry 4:
# PBE-GGA PrAsO4, relaxed
# Energy relative to the elements, uncorrected ... -1346 kJ/mol of formula units
# Excess energy over the best structure of this formula in the dataset ... 0.00 eV/f.u.
data_PrAsO4
_chemical_formula_sum 'Pr4 As4 O16'
_space_group_name_H-M_alt 'I 41/a m d'
_space_group_IT_number 141
_cell_length_a 7.4131
_cell_length_b 7.4131
_cell_length_c 6.5586
_cell_angle_alpha 90.00
_cell_angle_beta 90.00
_cell_angle_gamma 90.00
loop_
_space_group_symop_operation_xyz
'x,y,z'
'-x,-y,-z'
'-y+1/4,x+3/4,z+1/4'
'y+1/4,-x+3/4,-z+1/4'
'-x+1/2,-y,z+1/2'
'x+1/2,y,-z+1/2'
'y+1/4,-x+1/4,z+3/4'
'-y+1/4,x+1/4,-z+3/4'
'x,-y,-z'
'-x,y,z'
'-y+1/4,-x+1/4,-z+3/4'
'y+1/4,x+1/4,z+3/4'
'-x+1/2,y,-z+1/2'
'x+1/2,-y,z+1/2'
'y+1/4,x+3/4,-z+1/4'
'-y+1/4,-x+3/4,z+1/4'
'x+1/2,y+1/2,z+1/2'
'-x+1/2,-y+1/2,-z+1/2'
'-y+3/4,x+1/4,z+3/4'
'y+3/4,-x+1/4,-z+3/4'
'-x,-y+1/2,z'
'x,y+1/2,-z'
'y+3/4,-x+3/4,z+1/4'
'-y+3/4,x+3/4,-z+1/4'
'x+1/2,-y+1/2,-z+1/2'
'-x+1/2,y+1/2,z+1/2'
'-y+3/4,-x+3/4,-z+1/4'
'y+3/4,x+3/4,z+1/4'
'-x,y+1/2,-z'
'x,-y+1/2,z'
'y+3/4,x+1/4,-z+3/4'
'-y+3/4,-x+1/4,z+3/4'
loop_
_atom_site_label
_atom_site_fract_x
_atom_site_fract_y
_atom_site_fract_z
Pr1 0.0000 0.2500 0.3750
As1 0.0000 0.2500 0.8750
O1 0.0000 0.0722 0.7059

---

Entry 5:
# PBE-GGA Pr4As6O19, relaxed
# Energy relative to the elements, uncorrected ... -5155 kJ/mol of formula units
data_Pr4As6O19
_chemical_formula_sum 'Pr8 As12 O38'
_space_group_name_H-M_alt 'I 2 3'
_space_group_IT_number 197
_space_group_name_Hall 'I 2 2 3'
_cell_length_a 8.9946
_cell_length_b 8.9946
_cell_length_c 8.9946
_cell_angle_alpha 90.00
_cell_angle_beta 90.00
_cell_angle_gamma 90.00
loop_
_atom_site_label
_atom_site_fract_x
_atom_site_fract_y
_atom_site_fract_z
Pr1 0.1613 0.1613 0.8387
As1 0.0000 0.3375 0.5000
O1 0.0000 0.0000 0.0000
O2 0.0000 0.0000 0.3563
O3 0.0367 0.3242 0.2880

---

Entry 6:
# PBE-GGA PrAsO, relaxed
# Energy relative to the elements, uncorrected ... -598 kJ/mol of formula units
# Excess energy over the best structure of this formula in the dataset ... 0.06 eV/f.u.
data_PrAsO
_chemical_formula_sum 'Pr4 As4 O4'
_space_group_name_H-M_alt 'P n m a'
_space_group_IT_number 62
_space_group_name_Hall '-P 2ac 2n'
_cell_length_a 8.3101
_cell_length_b 3.8532
_cell_length_c 7.0564
_cell_angle_alpha 90.00
_cell_angle_beta 90.00
_cell_angle_gamma 90.00
loop_
_atom_site_label
_atom_site_fract_x
_atom_site_fract_y
_atom_site_fract_z
Pr1 0.1744 0.2500 0.0983
As1 0.0198 0.2500 0.6158
O1 0.1214 0.7500 0.9080

---

Entry 7:
# PBE-GGA Pr4As2O, relaxed
# Energy relative to the elements, uncorrected ... -990 kJ/mol of formula units
data_Pr4As2O
_chemical_formula_sum 'Pr8 As4 O2'
_space_group_name_H-M_alt 'I 4/m m m'
_space_group_IT_number 139
_space_group_name_Hall '-I 4 2'
_cell_length_a 4.6826
_cell_length_b 4.6826
_cell_length_c 16.3703
_cell_angle_alpha 90.00
_cell_angle_beta 90.00
_cell_angle_gamma 90.00
loop_
_atom_site_label
_atom_site_fract_x
_atom_site_fract_y
_atom_site_fract_z
Pr1 0.0000 0.0000 0.1761
Pr2 0.0000 0.5000 0.0000
As1 0.0000 0.0000 0.3628
O1 0.0000 0.0000 0.0000

---

Entry 8:
# PBE-GGA PrAsO, relaxed
# Energy relative to the elements, uncorrected ... -604 kJ/mol of formula units
# Excess energy over the best structure of this formula in the dataset ... 0.00 eV/f.u.
data_PrAsO
_chemical_formula_sum 'Pr2 As2 O2'
_space_group_name_H-M_alt 'P 4/n m m'
_space_group_IT_number 129
_cell_length_a 3.6534
_cell_length_b 3.6534
_cell_length_c 8.1744
_cell_angle_alpha 90.00
_cell_angle_beta 90.00
_cell_angle_gamma 90.00
loop_
_space_group_symop_operation_xyz
'x,y,z'
'-x,-y,-z'
'-y+1/2,x,z'
'y+1/2,-x,-z'
'-x+1/2,-y+1/2,z'
'x+1/2,y+1/2,-z'
'y,-x+1/2,z'
'-y,x+1/2,-z'
'x+1/2,-y,-z'
'-x+1/2,y,z'
'-y,-x,-z'
'y,x,z'
'-x,y+1/2,-z'
'x,-y+1/2,z'
'y+1/2,x+1/2,-z'
'-y+1/2,-x+1/2,z'
loop_
_atom_site_label
_atom_site_fract_x
_atom_site_fract_y
_atom_site_fract_z
Pr1 0.2500 0.2500 0.1769
As1 0.2500 0.7500 0.5000
O1 0.2500 0.2500 0.8860

---

Entry 9:
# PBE-GGA RbPr2AsO5, relaxed
# Energy relative to the elements, uncorrected ... -1944 kJ/mol of formula units
data_RbPr2AsO5
_chemical_formula_sum 'Rb4 Pr8 As4 O20'
_space_group_name_H-M_alt 'I 4/m c m'
_space_group_IT_number 140
_space_group_name_Hall '-I 4 2c'
_cell_length_a 6.9595
_cell_length_b 6.9595
_cell_length_c 12.1780
_cell_angle_alpha 90.00
_cell_angle_beta 90.00
_cell_angle_gamma 90.00
loop_
_atom_site_label
_atom_site_fract_x
_atom_site_fract_y
_atom_site_fract_z
Rb1 0.0000 0.0000 0.2500
Pr1 0.1789 0.3211 0.0000
As1 0.0000 0.5000 0.2500
O1 0.0000 0.0000 0.0000
O2 0.1361 0.3639 0.3755

---

Entry 10:
# PBE-GGA PrAs2RuO8, relaxed
# Energy relative to the elements, uncorrected ... -1715 kJ/mol of formula units
data_PrAs2RuO8
_chemical_formula_sum 'Pr1 As2 Ru1 O8'
_space_group_name_H-M_alt 'P -3 m 1'
_space_group_IT_number 164
_space_group_name_Hall '-P 3 2"'
_cell_length_a 5.4692
_cell_length_b 5.4692
_cell_length_c 6.8754
_cell_angle_alpha 90.00
_cell_angle_beta 90.00
_cell_angle_gamma 120.00
loop_
_atom_site_label
_atom_site_fract_x
_atom_site_fract_y
_atom_site_fract_z
Pr1 0.0000 0.0000 0.0000
As1 0.3333 0.6667 0.2332
Ru1 0.0000 0.0000 0.5000
O1 0.1569 0.3138 0.2965
O2 0.3333 0.6667 0.9867

---

Entry 11:
# PBE-GGA PrScAsO5, relaxed
# Energy relative to the elements, uncorrected ... -1932 kJ/mol of formula units
data_PrScAsO5
_chemical_formula_sum 'Pr4 Sc4 As4 O20'
_space_group_name_H-M_alt 'C 1 2/c 1'
_space_group_IT_number 15
_space_group_name_Hall '-C 2yc'
_cell_length_a 7.3569
_cell_length_b 9.0705
_cell_length_c 7.8142
_cell_angle_alpha 90.00
_cell_angle_beta 117.70
_cell_angle_gamma 90.00
loop_
_atom_site_label
_atom_site_fract_x
_atom_site_fract_y
_atom_site_fract_z
Pr1 0.0000 0.1832 0.2500
Sc1 0.0000 0.5000 0.0000
As1 0.0000 0.1914 0.7500
O1 0.0000 0.4358 0.2500
O2 0.1124 0.2739 0.5881
O3 0.1825 0.0605 0.9040

---

Entry 12:
# PBE-GGA Pr4AsSe2O, relaxed
# Energy relative to the elements, uncorrected ... -1453 kJ/mol of formula units
data_Pr4AsSe2O
_chemical_formula_sum 'Pr4 As1 Se2 O1'
_space_group_name_H-M_alt 'P 1 2/m 1'
_space_group_IT_number 10
_space_group_name_Hall '-P 2y'
_cell_length_a 7.0827
_cell_length_b 4.1000
_cell_length_c 7.3054
_cell_angle_alpha 90.00
_cell_angle_beta 108.97
_cell_angle_gamma 90.00
loop_
_atom_site_label
_atom_site_fract_x
_atom_site_fract_y
_atom_site_fract_z
Pr1 0.2213 0.0000 0.2157
Pr2 0.2325 0.5000 0.7785
As1 0.5000 0.0000 0.0000
Se1 0.0000 0.0000 0.5000
Se2 0.5000 0.5000 0.5000
O1 0.0000 0.5000 0.0000

---

Entry 13:
# PBE-GGA SrPrAsO, relaxed
# Energy relative to the elements, uncorrected ... -777 kJ/mol of formula units
data_SrPrAsO
_chemical_formula_sum 'Sr2 Pr2 As2 O2'
_space_group_name_H-M_alt 'P 4/n m m'
_space_group_IT_number 129
_cell_length_a 4.6882
_cell_length_b 4.6882
_cell_length_c 8.9232
_cell_angle_alpha 90.00
_cell_angle_beta 90.00
_cell_angle_gamma 90.00
loop_
_space_group_symop_operation_xyz
'x,y,z'
'-x,-y,-z'
'-y+1/2,x,z'
'y+1/2,-x,-z'
'-x+1/2,-y+1/2,z'
'x+1/2,y+1/2,-z'
'y,-x+1/2,z'
'-y,x+1/2,-z'
'x+1/2,-y,-z'
'-x+1/2,y,z'
'-y,-x,-z'
'y,x,z'
'-x,y+1/2,-z'
'x,-y+1/2,z'
'y+1/2,x+1/2,-z'
'-y+1/2,-x+1/2,z'
loop_
_atom_site_label
_atom_site_fract_x
_atom_site_fract_y
_atom_site_fract_z
Sr1 0.2500 0.2500 0.1467
Pr1 0.2500 0.7500 0.5000
As1 0.2500 0.2500 0.7800
O1 0.2500 0.2500 0.4208

---

Entry 14:
# PBE-GGA Sr2Pr4As3O2, relaxed
# Energy relative to the elements, uncorrected ... -1877 kJ/mol of formula units
data_Sr2Pr4As3O2
_chemical_formula_sum 'Sr4 Pr8 As6 O4'
_space_group_name_H-M_alt 'I 4/m m m'
_space_group_IT_number 139
_space_group_name_Hall '-I 4 2'
_cell_length_a 4.7990
_cell_length_b 4.7990
_cell_length_c 24.7486
_cell_angle_alpha 90.00
_cell_angle_beta 90.00
_cell_angle_gamma 90.00
loop_
_atom_site_label
_atom_site_fract_x
_atom_site_fract_y
_atom_site_fract_z
Sr1 0.0000 0.0000 0.1993
Pr1 0.0000 0.5000 0.0787
As1 0.0000 0.0000 0.3296
As2 0.0000 0.0000 0.5000
O1 0.0000 0.0000 0.0994

---

Entry 15:
# PBE-GGA Pr2TlAsO5, relaxed
# Energy relative to the elements, uncorrected ... -1770 kJ/mol of formula units
data_Pr2TlAsO5
_chemical_formula_sum 'Pr4 Tl2 As2 O10'
_space_group_name_H-M_alt 'P 4/m b m'
_space_group_IT_number 127
_space_group_name_Hall '-P 4 2ab'
_cell_length_a 6.9450
_cell_length_b 6.9450
_cell_length_c 6.0597
_cell_angle_alpha 90.00
_cell_angle_beta 90.00
_cell_angle_gamma 90.00
loop_
_atom_site_label
_atom_site_fract_x
_atom_site_fract_y
_atom_site_fract_z
Pr1 0.1772 0.3228 0.0000
Tl1 0.0000 0.0000 0.5000
As1 0.0000 0.5000 0.5000
O1 0.0000 0.0000 0.0000
O2 0.1339 0.6339 0.2456

---

Entry 16:
# PBE-GGA PrTl3As2O6, relaxed
# Energy relative to the elements, uncorrected ... -1765 kJ/mol of formula units
data_PrTl3As2O6
_chemical_formula_sum 'Pr1 Tl3 As2 O6'
_space_group_name_H-M_alt 'P -3 m 1'
_space_group_IT_number 164
_space_group_name_Hall '-P 3 2"'
_cell_length_a 6.1436
_cell_length_b 6.1436
_cell_length_c 7.3800
_cell_angle_alpha 90.00
_cell_angle_beta 90.00
_cell_angle_gamma 120.00
loop_
_atom_site_label
_atom_site_fract_x
_atom_site_fract_y
_atom_site_fract_z
Pr1 0.0000 0.0000 0.0000
Tl1 0.0000 0.0000 0.5000
Tl2 0.3333 0.6667 0.1729
As1 0.3333 0.6667 0.7002
O1 0.1833 0.3665 0.8126

---

Entry 17:
# PBE-GGA PrTl2As2O6, relaxed
# Energy relative to the elements, uncorrected ... -1656 kJ/mol of formula units
data_PrTl2As2O6
_chemical_formula_sum 'Pr2 Tl4 As4 O12'
_space_group_name_H-M_alt 'C 1 2/m 1'
_space_group_IT_number 12
_space_group_name_Hall '-C 2y'
_cell_length_a 10.1483
_cell_length_b 6.2212
_cell_length_c 7.6500
_cell_angle_alpha 90.00
_cell_angle_beta 117.83
_cell_angle_gamma 90.00
loop_
_atom_site_label
_atom_site_fract_x
_atom_site_fract_y
_atom_site_fract_z
Pr1 0.0000 0.0000 0.0000
Tl1 0.2130 0.0000 0.6948
As1 0.0554 0.5000 0.7245
O1 0.0379 0.2793 0.2358
O2 0.2404 0.5000 0.9183

---

Entry 18:
# PBE-GGA PrTmAs2O8, relaxed
# Energy relative to the elements, uncorrected ... -2690 kJ/mol of formula units
data_PrTmAs2O8
_chemical_formula_sum 'Pr2 Tm2 As4 O16'
_space_group_name_H-M_alt 'I -4'
_space_group_IT_number 82
_space_group_name_Hall 'I -4'
_cell_length_a 5.0989
_cell_length_b 5.0989
_cell_length_c 11.5218
_cell_angle_alpha 90.00
_cell_angle_beta 90.00
_cell_angle_gamma 90.00
loop_
_atom_site_label
_atom_site_fract_x
_atom_site_fract_y
_atom_site_fract_z
Pr1 0.0000 0.0000 0.0000
Tm1 0.0000 0.5000 0.7500
As1 0.0000 0.0000 0.5000
As2 0.0000 0.5000 0.2500
O1 0.1355 0.2512 0.5812
O2 0.1535 0.7507 0.1749

---

Entry 19:
# PBE-GGA PrUAsO2, relaxed
# Energy relative to the elements, uncorrected ... -1176 kJ/mol of formula units
data_PrUAsO2
_chemical_formula_sum 'Pr2 U2 As2 O4'
_space_group_name_H-M_alt 'I 4 m m'
_space_group_IT_number 107
_space_group_name_Hall 'I 4 -2'
_cell_length_a 3.8514
_cell_length_b 3.8514
_cell_length_c 12.4670
_cell_angle_alpha 90.00
_cell_angle_beta 90.00
_cell_angle_gamma 90.00
loop_
_atom_site_label
_atom_site_fract_x
_atom_site_fract_y
_atom_site_fract_z
Pr1 0.0000 0.0000 0.0000
U1 0.0000 0.0000 0.7107
As1 0.0000 0.0000 0.3560
O1 0.0000 0.5000 0.1195